Entry 1:
First-principles (GGA-PBE) data for an optimized crystal structure of La2CdCoI, as listed in Alexandria.

Computed properties:
DOS(E_F) (states/eV per cell): 4.216

```
data_La2CdCoI
_cell_length_a 5.3154
_cell_length_b 5.3154
_cell_length_c 5.1045
_cell_angle_alpha 90.00
_cell_angle_beta 90.00
_cell_angle_gamma 90.00
_symmetry_space_group_name_H-M 'P 4/m m m'
_symmetry_Int_Tables_number 123
_symmetry_space_group_name_Hall '-P 4 2'
loop_
_atom_site_label
_atom_site_fract_x
_atom_site_fract_y
_atom_site_fract_z
_atom_site_occupancy
La1 0.0000 0.5000 0.0000 1
Cd1 0.0000 0.0000 0.5000 1
Co1 0.0000 0.0000 0.0000 1
I1 0.5000 0.5000 0.5000 1
```

Entry 2:
First-principles (GGA-PBE) data for an optimized crystal structure of Cd2CoMoI, as listed in Alexandria.

Computed properties:
DOS(E_F) (states/eV per cell): 3.844

```
data_Cd2CoMoI
_cell_length_a 5.0087
_cell_length_b 5.0087
_cell_length_c 5.0016
_cell_angle_alpha 90.00
_cell_angle_beta 90.00
_cell_angle_gamma 90.00
_symmetry_space_group_name_H-M 'P 4/m m m'
_symmetry_Int_Tables_number 123
_symmetry_space_group_name_Hall '-P 4 2'
loop_
_atom_site_label
_atom_site_fract_x
_atom_site_fract_y
_atom_site_fract_z
_atom_site_occupancy
Cd1 0.0000 0.5000 0.0000 1
Co1 0.0000 0.0000 0.0000 1
Mo1 0.5000 0.5000 0.5000 1
I1 0.0000 0.0000 0.5000 1
```

Entry 3:
First-principles (GGA-PBE) data for an optimized crystal structure of CdCoIN2, as listed in Alexandria.

Computed properties:
DOS(E_F) (states/eV per cell): 7.176

```
data_CdCoIN2
_cell_length_a 4.1815
_cell_length_b 4.1815
_cell_length_c 7.1430
_cell_angle_alpha 90.00
_cell_angle_beta 90.00
_cell_angle_gamma 90.00
_symmetry_space_group_name_H-M 'P 4/m m m'
_symmetry_Int_Tables_number 123
_symmetry_space_group_name_Hall '-P 4 2'
loop_
_atom_site_label
_atom_site_fract_x
_atom_site_fract_y
_atom_site_fract_z
_atom_site_occupancy
Cd1 0.0000 0.0000 0.0000 1
Co1 0.5000 0.5000 0.5000 1
I1 0.0000 0.0000 0.5000 1
N1 0.0000 0.5000 0.0000 1
```

no.,total energy (eV/cell),calculated density (g cm⁻³),formation energy without anion corrections (eV/atom)
1,-21.8,6.63,-0.47
2,-15.5,6.70,1.16
3,-16.4,4.34,1.96